A plane-wave DFT calculation with GGA+U was carried out for crystalline Cr2FeAsO8 at its relaxed geometry.

Lattice parameters (Å, degrees): 4.5352 4.5339 5.8728 90.00 90.00 89.66
Closest atoms and distances in Å follow each position.
Positions (direct):
Cr: 0.5000 0.5000 0.7489  6 O 1.90-1.99
Cr: 0.5000 0.5000 0.2511  6 O 1.90-1.99
Fe: 0.0000 0.0000 0.5000  6 O 1.95-2.00
As: 0.0000 0.0000 0.0000  6 O 1.85-1.91
O: 0.1887 0.8109 0.2392  1 As 1.85, 1 Fe 1.95, 1 Cr 1.99
O: 0.7032 0.7035 0.0000  1 As 1.91, 2 Cr 1.97
O: 0.8113 0.1891 0.2392  1 As 1.85, 1 Fe 1.95, 1 Cr 1.99
O: 0.8113 0.1891 0.7608  1 As 1.85, 1 Fe 1.95, 1 Cr 1.99
O: 0.2968 0.2965 0.0000  1 As 1.91, 2 Cr 1.97
O: 0.1887 0.8109 0.7608  1 As 1.85, 1 Fe 1.95, 1 Cr 1.99
O: 0.6888 0.6892 0.5000  2 Cr 1.90, 1 Fe 2.00
O: 0.3112 0.3108 0.5000  2 Cr 1.90, 1 Fe 2.00

Properties
Total energy   -6.773 eV per atom
Total moment   7.00 μB per formula unit
Density of states at the Fermi level   3.52 states/eV per cell